Entry 1:
Compound: SmCoP2Rh
Source: the Alexandria database
Functional: PBE
Structure: relaxed

- ρ (Mg/m³) = 8.1
- energy relative to the elements (eV per formula unit) = -5.0
- crystal system = tetragonal
- DOS(E_F) (states/eV/f.u.) = 2.836
- total moment (μB/f.u.) = 1.0

a b c (Å): 3.973 3.973 9.723
angles (deg): 90.00 90.00 90.00
Element x y z (fractional)
Sm1 0.000 0.000 0.000
Sm2 0.500 0.500 0.500
Co1 0.000 0.500 0.750
Co2 0.500 0.000 0.250
P1 0.000 0.000 0.378
P2 0.000 0.000 0.622
P3 0.500 0.500 0.122
P4 0.500 0.500 0.878
Rh1 0.000 0.500 0.250
Rh2 0.500 0.000 0.750

Entry 2:
Compound: SmCoP2Rh2
Source: the Alexandria database
Functional: PBE
Structure: relaxed

- ρ (Mg/m³) = 8.0
- energy relative to the elements (eV per formula unit) = -2.8
- crystal system = tetragonal
- DOS(E_F) (states/eV/f.u.) = 1.898
- total moment (μB/f.u.) = 0.0

a b c (Å): 4.259 4.259 5.441
angles (deg): 90.00 90.00 90.00
Element x y z (fractional)
Sm1 0.000 0.000 0.000
Co1 0.000 0.000 0.500
P1 0.000 0.500 0.500
P2 0.500 0.000 0.500
Rh1 0.500 0.500 0.250
Rh2 0.500 0.500 0.750

Entry 3:
Compound: SrCoP2Rh
Source: the Alexandria database
Functional: PBE
Structure: relaxed

- ρ (Mg/m³) = 5.8
- energy relative to the elements (eV per formula unit) = -4.3
- crystal system = tetragonal
- DOS(E_F) (states/eV/f.u.) = 3.518
- total moment (μB/f.u.) = 0.4

a b c (Å): 3.879 3.879 11.777
angles (deg): 90.00 90.00 90.00
Element x y z (fractional)
Sr1 0.000 0.000 0.000
Sr2 0.500 0.500 0.500
Co1 0.000 0.500 0.250
Co2 0.500 0.000 0.750
P1 0.000 0.000 0.355
P2 0.000 0.000 0.645
P3 0.500 0.500 0.145
P4 0.500 0.500 0.855
Rh1 0.000 0.500 0.750
Rh2 0.500 0.000 0.250

Entry 4:
Compound: Th2CoP3Rh4
Source: the Alexandria database
Functional: PBE
Structure: relaxed

- ρ (Mg/m³) = 10.2
- energy relative to the elements (eV per formula unit) = -9.7
- crystal system = tetragonal
- DOS(E_F) (states/eV/f.u.) = 7.965
- total moment (μB/f.u.) = 1.6

a b c (Å): 4.122 4.122 9.882
angles (deg): 90.00 90.00 90.00
Element x y z (fractional)
Th1 0.000 0.500 0.248
Th2 0.500 0.000 0.752
Co1 0.500 0.500 0.000
P1 0.000 0.000 0.000
P2 0.000 0.500 0.637
P3 0.500 0.000 0.363
Rh1 0.000 0.000 0.500
Rh2 0.000 0.500 0.874
Rh3 0.500 0.000 0.126
Rh4 0.500 0.500 0.500

Entry 5:
Compound: Th2Co3P4Rh
Source: the Alexandria database
Functional: PBE
Structure: relaxed

- ρ (Mg/m³) = 9.4
- energy relative to the elements (eV per formula unit) = -10.9
- crystal system = tetragonal
- DOS(E_F) (states/eV/f.u.) = 3.657
- total moment (μB/f.u.) = 0.9

a b c (Å): 4.070 4.070 9.226
angles (deg): 90.00 90.00 90.00
Element x y z (fractional)
Th1 0.000 0.500 0.243
Th2 0.500 0.000 0.757
Co1 0.000 0.500 0.893
Co2 0.500 0.000 0.107
Co3 0.500 0.500 0.500
P1 0.000 0.000 0.000
P2 0.000 0.500 0.641
P3 0.500 0.000 0.359
P4 0.500 0.500 0.000
Rh1 0.000 0.000 0.500

Entry 6:
Compound: Th2Co12P3Rh
Source: the Alexandria database
Functional: PBE
Structure: relaxed

- ρ (Mg/m³) = 9.4
- energy relative to the elements (eV per formula unit) = 1.7
- crystal system = trigonal
- DOS(E_F) (states/eV/f.u.) = 25.440
- total moment (μB/f.u.) = 8.4

a b c (Å): 6.258 6.258 6.258
angles (deg): 84.63 84.63 84.63
Element x y z (fractional)
Th1 0.153 0.153 0.153
Th2 0.847 0.847 0.847
Co1 0.121 0.121 0.601
Co2 0.121 0.601 0.121
Co3 0.181 0.684 0.684
Co4 0.316 0.316 0.819
Co5 0.316 0.819 0.316
Co6 0.399 0.879 0.879
Co7 0.601 0.121 0.121
Co8 0.684 0.181 0.684
Co9 0.684 0.684 0.181
Co10 0.819 0.316 0.316
Co11 0.879 0.399 0.879
Co12 0.879 0.879 0.399
P1 0.000 0.500 0.500
P2 0.500 0.000 0.500
P3 0.500 0.500 0.000
Rh1 0.500 0.500 0.500